Record 1
A plane-wave DFT calculation with PBE-GGA was carried out for a relaxed RbReTeI2 crystal.

Results
As for the relative energy among the computed polymorphs: 0.0000 eV per atom. The space-group type is P4/mmm. The value obtained for the total energy is -19.6 eV for the cell shown. The raw formation energy comes out at 0.005 eV/atom. The value obtained for the total magnetic moment is 0.88 μB per formula unit.

Cell: 5.8886 5.8886 5.0979 Å, 90.00 90.00 90.00°
Fractional coordinates of all 5 atoms:
Rb (0.0000, 0.0000, 0.0000)
Re (0.5000, 0.5000, 0.5000)
Te (0.5000, 0.5000, 0.0000)
I (0.0000, 0.5000, 0.5000)
I (0.5000, 0.0000, 0.5000)


Record 2
A plane-wave DFT calculation with PBE-GGA was carried out for a relaxed RbReTeI2 crystal.

Results
As for the relative energy among the computed polymorphs: 1.4792 eV per atom. The space-group type is P4/mmm. The value obtained for the total energy is -12.2 eV for the cell shown. The raw formation energy comes out at 1.484 eV/atom. The value obtained for the total magnetic moment is 6.11 μB per formula unit.

Cell: 6.6675 6.6675 6.4508 Å, 90.00 90.00 90.00°
Fractional coordinates of all 5 atoms:
Rb (0.0000, 0.0000, 0.0000)
Re (0.5000, 0.5000, 0.5000)
Te (0.0000, 0.0000, 0.5000)
I (0.0000, 0.5000, 0.0000)
I (0.5000, 0.0000, 0.0000)


Record 3
A plane-wave DFT calculation with PBE-GGA was carried out for a relaxed RbTlReI2 crystal.

Results
The space-group type is P4/mmm. The value obtained for the total energy is -17.7 eV for the cell shown. The raw formation energy comes out at 0.242 eV/atom. The value obtained for the total magnetic moment is 1.98 μB per formula unit.

Cell: 5.7876 5.7876 5.3598 Å, 90.00 90.00 90.00°
Fractional coordinates of all 5 atoms:
Rb (0.0000, 0.0000, 0.0000)
Tl (0.5000, 0.5000, 0.0000)
Re (0.5000, 0.5000, 0.5000)
I (0.0000, 0.5000, 0.5000)
I (0.5000, 0.0000, 0.5000)


Record 4
A plane-wave DFT calculation with PBE-GGA was carried out for a relaxed RbTl2ReI8 crystal.

Results
The space-group type is P2/m. The value obtained for the total energy is -35.5 eV for the cell shown. The raw formation energy comes out at -0.414 eV/atom. The value obtained for the total magnetic moment is 2.00 μB per formula unit.

Cell: 7.0370 10.1103 8.0752 Å, 90.00 110.78 90.00°
Fractional coordinates of all 12 atoms:
Rb (0.0000, 0.0000, 0.0000)
Tl (0.0000, 0.2416, 0.5000)
Tl (0.0000, 0.7584, 0.5000)
Re (0.0000, 0.5000, 0.0000)
I (0.2356, 0.5000, 0.7973)
I (0.2449, 0.3110, 0.2150)
I (0.2449, 0.6890, 0.2150)
I (0.3015, 0.0000, 0.7043)
I (0.6985, 0.0000, 0.2957)
I (0.7551, 0.3110, 0.7850)
I (0.7551, 0.6890, 0.7850)
I (0.7644, 0.5000, 0.2027)


Record 5
A plane-wave DFT calculation with PBE-GGA was carried out for a relaxed Rb2TlReI6 crystal.

Results
The space-group type is Fm-3m. The value obtained for the total energy is -31.7 eV for the cell shown. The raw formation energy comes out at -0.564 eV/atom. The value obtained for the total magnetic moment is 2.00 μB per formula unit.

Cell: 8.5831 8.5831 8.5831 Å, 60.00 60.00 60.00°
Fractional coordinates of all 10 atoms:
Rb (0.2500, 0.2500, 0.2500)
Rb (0.7500, 0.7500, 0.7500)
Tl (0.0000, 0.0000, 0.0000)
Re (0.5000, 0.5000, 0.5000)
I (0.2735, 0.2735, 0.7265)
I (0.2735, 0.7265, 0.2735)
I (0.2735, 0.7265, 0.7265)
I (0.7265, 0.2735, 0.2735)
I (0.7265, 0.2735, 0.7265)
I (0.7265, 0.7265, 0.2735)


Record 6
A plane-wave DFT calculation with PBE-GGA was carried out for a relaxed RbTlReI6 crystal.

Results
The space-group type is P-31c. The value obtained for the total energy is -57.4 eV for the cell shown. The raw formation energy comes out at -0.404 eV/atom. The value obtained for the total magnetic moment is 2.94 μB per formula unit.

Cell: 8.6192 8.6192 12.9903 Å, 90.00 90.00 120.00°
Fractional coordinates of all 18 atoms:
Rb (0.3333, 0.6667, 0.2500)
Rb (0.6667, 0.3333, 0.7500)
Tl (0.0000, 0.0000, 0.0000)
Tl (0.0000, 0.0000, 0.5000)
Re (0.3333, 0.6667, 0.7500)
Re (0.6667, 0.3333, 0.2500)
I (0.0780, 0.4047, 0.6259)
I (0.0780, 0.6733, 0.8741)
I (0.3267, 0.4047, 0.8741)
I (0.3267, 0.9220, 0.6259)
I (0.4047, 0.0780, 0.1259)
I (0.4047, 0.3267, 0.3741)
I (0.5953, 0.6733, 0.6259)
I (0.5953, 0.9220, 0.8741)
I (0.6733, 0.0780, 0.3741)
I (0.6733, 0.5953, 0.1259)
I (0.9220, 0.3267, 0.1259)
I (0.9220, 0.5953, 0.3741)


Copy entry 2 word for word.
A plane-wave DFT calculation with PBE-GGA was carried out for a relaxed RbReTeI2 crystal.

Results
As for the relative energy among the computed polymorphs: 1.4792 eV per atom. The space-group type is P4/mmm. The value obtained for the total energy is -12.2 eV for the cell shown. The raw formation energy comes out at 1.484 eV/atom. The value obtained for the total magnetic moment is 6.11 μB per formula unit.

Cell: 6.6675 6.6675 6.4508 Å, 90.00 90.00 90.00°
Fractional coordinates of all 5 atoms:
Rb (0.0000, 0.0000, 0.0000)
Re (0.5000, 0.5000, 0.5000)
Te (0.0000, 0.0000, 0.5000)
I (0.0000, 0.5000, 0.0000)
I (0.5000, 0.0000, 0.0000)